i.
SmY3Pt | PBE | optimized geometry

POSCAR file:
```
SmY3Pt
1.0
5.4970 0.0000 0.0000
0.0000 5.4970 0.0000
0.0000 0.0000 5.4970
Sm Y Pt
1 3 1
Cartesian
0.0000 0.0000 0.0000
0.0000 2.7485 2.7485
2.7485 0.0000 2.7485
2.7485 2.7485 0.0000
2.7485 2.7485 2.7485
```

Output
Space-group type ... Pm-3m
Total moment ... 0.000 μB/atom

ii.
SmY3Pt | PBE | optimized geometry

POSCAR file:
```
SmY3Pt
1.0
6.4881 0.0000 0.0000
0.0000 5.1318 0.0000
-0.9911 0.0000 8.7338
Sm Y Pt
2 6 2
Cartesian
0.4195 1.2829 2.4680
5.0776 3.8488 6.2658
0.7586 1.2829 6.5010
1.7976 3.8488 0.4887
1.6179 3.8488 4.1856
3.8792 1.2829 4.5482
3.6995 1.2829 8.2452
4.7384 3.8488 2.2328
2.2593 3.8488 6.8849
3.2378 1.2829 1.8490
```

Output
Space-group type ... P2_1/m
Total moment ... 0.000 μB/atom

Which of them is the most stable, and which is the least stable? ii and i, in that order.

i.
Sm2Zn3Pt | PBE | optimized geometry

POSCAR file:
```
Sm2Zn3Pt
1.0
0.0000 4.5046 7.7289
3.6282 0.0000 7.7289
3.6282 4.5046 0.0000
Sm Zn Pt
4 6 2
Cartesian
5.5042 4.5046 7.7289
1.8141 2.2523 3.8644
5.4423 6.7570 11.5933
1.7522 4.5046 7.7289
3.6282 2.2714 6.4513
3.6282 4.5046 5.1800
3.6282 2.2714 9.0065
3.6282 6.7379 6.4513
3.6282 4.5046 10.2777
3.6282 6.7379 9.0065
3.6282 4.5046 2.5666
3.6282 4.5046 12.8911
```

Output
Space-group type ... Fmmm
Total moment ... 0.000 μB/atom

ii.
Sm2Zn3Pt | PBE | optimized geometry

POSCAR file:
```
Sm2Zn3Pt
1.0
3.6787 0.0000 0.0000
0.0000 4.4866 0.0000
0.0000 0.0000 7.7426
Sm Zn Pt
2 3 1
Cartesian
0.0000 0.0000 0.0000
0.0000 2.2433 3.5683
1.8393 0.0000 5.0578
1.8393 2.2433 1.0574
1.8393 2.2433 6.2550
1.8393 0.0000 2.4238
```

Output
Space-group type ... Pmm2
Total moment ... 0.000 μB/atom

Which of them is the most stable, and which is the least stable? ii and i, in that order.

i.
SmZn9Pt2 | PBE | optimized geometry

POSCAR file:
```
SmZn9Pt2
1.0
8.7869 0.0000 0.0000
-4.3935 7.6097 0.0000
0.0000 0.0000 2.9884
Sm Zn Pt
1 9 2
Cartesian
0.0000 0.0000 0.0000
-2.1967 3.8049 0.0000
0.0000 2.8017 1.4942
-1.9671 6.2088 1.4942
2.4264 1.4009 1.4942
4.3935 0.0000 0.0000
2.1967 3.8049 0.0000
1.9671 6.2088 1.4942
6.3606 1.4009 1.4942
4.3935 4.8080 1.4942
0.0000 5.0731 0.0000
4.3935 2.5366 0.0000
```

Output
Space-group type ... P6/mmm
Total moment ... 0.000 μB/atom

ii.
SmZn9Pt2 | PBE | optimized geometry

POSCAR file:
```
SmZn9Pt2
1.0
-5.3105 5.3105 3.4653
5.3105 -5.3105 3.4653
5.3105 5.3105 -3.4653
Sm Zn Pt
2 18 4
Cartesian
5.3105 2.6552 0.8663
0.0000 2.6552 2.5990
5.3105 -2.6552 2.5990
4.0224 -0.4620 1.2240
6.5985 -0.4620 1.2240
2.1933 1.3672 0.5087
8.4276 1.3672 0.5087
4.0224 4.8485 -1.2240
1.2881 -0.4620 2.2414
2.1933 3.9433 0.5087
3.1172 -1.3672 3.9741
2.1933 6.6776 -0.5087
3.1172 1.3672 2.9566
4.0224 5.7724 1.2240
1.2881 0.4620 4.6893
-3.1172 3.9433 2.9566
3.1172 3.9433 2.9566
-1.2881 5.7724 2.2414
1.2881 5.7724 2.2414
0.0000 7.9657 0.8663
0.0000 0.0000 0.0000
2.6552 2.6552 -1.7327
2.6552 -2.6552 1.7327
0.0000 5.3105 0.0000
```

Output
Space-group type ... I4_1/amd
Total moment ... 0.000 μB/atom

Which of them is the most stable, and which is the least stable? ii and i, in that order.